(1)
DFT (GGA-PBE) results for a relaxed La2ScSiC crystal.

abc: 5.1508 5.1508 4.5147
angles: 90.00 90.00 90.00
Atoms (fractional coordinates):
1 La 0.0000 0.5000 0.0000
2 La 0.5000 0.0000 0.0000
3 Sc 0.0000 0.0000 0.5000
4 Si 0.5000 0.5000 0.5000
5 C 0.0000 0.0000 0.0000

Output
Raw formation energy ... -338 meV/atom

***

(2)
DFT (GGA-PBE) results for a relaxed LaSc2SnC crystal.

abc: 4.6598 4.6598 5.1316
angles: 90.00 90.00 90.00
Atoms (fractional coordinates):
1 La 0.0000 0.0000 0.0000
2 Sc 0.0000 0.5000 0.5000
3 Sc 0.5000 0.0000 0.5000
4 Sn 0.5000 0.5000 0.0000
5 C 0.0000 0.0000 0.5000

***

(3)
DFT (GGA-PBE) results for a relaxed La2ScTeC crystal.

abc: 5.0900 5.0900 5.1021
angles: 90.00 90.00 90.00
Atoms (fractional coordinates):
1 La 0.0000 0.5000 0.0000
2 La 0.5000 0.0000 0.0000
3 Sc 0.0000 0.0000 0.5000
4 Te 0.5000 0.5000 0.5000
5 C 0.5000 0.5000 0.0000

Output
Raw formation energy ... 109 meV/atom

***

Short version: calculated total energy = -6.50; -6.73; -5.60 eV per atom, in the order given.
Short version: D(E_F) = 0.5490; 0.5983; 1.3006 states/eV per atom, in the order given.